PrTc2N3 | PBE | optimized geometry

Unit cell a=3.403 b=3.969 c=12.099 alpha=90.00 beta=90.00 gamma=90.00
Atoms (fractional coordinates):
1 Tc 0.000 0.500 0.832
2 Tc 0.000 0.000 0.668
3 Tc 0.000 0.500 0.168
4 Tc 0.000 0.000 0.332
5 N 0.000 0.500 0.000
6 N 0.000 0.000 0.838
7 N 0.000 0.500 0.338
8 N 0.000 0.500 0.662
9 N 0.000 0.000 0.162
10 N 0.000 0.000 0.500
11 Pr 0.500 0.500 0.500
12 Pr 0.500 0.000 0.000

Output
Crystal system   orthorhombic
Formation energy from raw total energies   -0.3814 eV per atom
SG   Cmmm (65)